1.
Compound: HgSNCl
Source: the Alexandria database
Functional: PBE-GGA
Structure: optimized geometry

Summary:
- Energy relative to the elements, uncorrected: 0.382 eV per atom
- Calculated volume: 434.98 Å³ per cell
- Crystal system: orthorhombic

Lattice parameters (Å, degrees): 6.301 6.073 11.367 90.00 90.00 90.00
Space group Pnma (No. 62)
Asymmetric unit:
Hg  0.070  0.250  0.127 (multiplicity 4)
S  0.094  0.250  0.892 (multiplicity 4)
N  0.182  0.750  0.351 (multiplicity 4)
Cl  0.038  0.250  0.350 (multiplicity 4)

***

2.
Compound: Nd4Dy15Ho
Source: the Alexandria database
Functional: PBE-GGA
Structure: optimized geometry

Summary:
- DFT formation energy: 0.019 eV per atom
- Calculated volume: 642.57 Å³ per cell
- Crystal system: tetragonal

Lattice parameters (Å, degrees): 5.051 5.051 25.183 90.00 90.00 90.00
Space group P4/mmm (No. 123)
Asymmetric unit:
Nd  0.000  0.000  0.100 (multiplicity 2)
Nd  0.000  0.000  0.301 (multiplicity 2)
Dy  0.000  0.500  0.000 (multiplicity 2)
Dy  0.000  0.500  0.201 (multiplicity 4)
Dy  0.000  0.500  0.402 (multiplicity 4)
Dy  0.500  0.500  0.100 (multiplicity 2)
Dy  0.500  0.500  0.301 (multiplicity 2)
Dy  0.500  0.500  0.500 (multiplicity 1)
Ho  0.000  0.000  0.500 (multiplicity 1)

***

3.
Compound: MgGaBr4Cl
Source: the Alexandria database
Functional: PBE-GGA
Structure: optimized geometry

Summary:
- Energy relative to the elements, uncorrected: -1.130 eV per atom
- Calculated volume: 1252.21 Å³ per cell
- Crystal system: monoclinic

Lattice parameters (Å, degrees): 15.115 7.608 11.269 90.00 104.92 90.00
Space group C2/m (No. 12)
Asymmetric unit:
Mg  0.099  0.000  0.095 (multiplicity 4)
Ga  0.138  0.500  0.261 (multiplicity 4)
Br  0.018  0.500  0.815 (multiplicity 4)
Br  0.201  0.500  0.470 (multiplicity 4)
Br  0.210  0.255  0.175 (multiplicity 8)
Cl  0.050  0.000  0.877 (multiplicity 4)

***

4.
Compound: BeCr2Mo
Source: the Alexandria database
Functional: PBE-GGA
Structure: optimized geometry

Summary:
- DFT formation energy: 0.141 eV per atom
- Calculated volume: 48.68 Å³ per cell
- Crystal system: monoclinic

Lattice parameters (Å, degrees): 2.509 4.134 4.759 90.00 99.56 90.00
Space group P2/m (No. 10)
Asymmetric unit:
Be  0.000  0.000  0.000 (multiplicity 1)
Cr  0.275  0.500  0.767 (multiplicity 2)
Mo  0.500  0.000  0.500 (multiplicity 1)

***

5.
Compound: KIrW2
Source: the Alexandria database
Functional: PBE-GGA
Structure: optimized geometry

Summary:
- DFT formation energy: 0.767 eV per atom
- Relative energy among the computed polymorphs: 10.9 kJ per mole of atoms
- Calculated volume: 225.35 Å³ per cell
- Crystal system: trigonal

Lattice parameters (Å, degrees): 2.8289 2.8289 32.5165 90.00 90.00 120.00
Space group R-3m (No. 166, hexagonal axes)
Asymmetric unit:
K  0.0000  0.0000  0.0000 (multiplicity 3)
Ir  0.0000  0.0000  0.5000 (multiplicity 3)
W  0.0000  0.0000  0.2350 (multiplicity 6)

***

6.
Compound: RhPbIN2
Source: the Alexandria database
Functional: PBE-GGA
Structure: optimized geometry

Summary:
- Energy relative to the elements, uncorrected: 1.934 eV per atom
- Relative energy among the computed polymorphs: 66.2 kJ per mole of atoms
- Calculated volume: 122.18 Å³ per cell
- Crystal system: tetragonal

Lattice parameters (Å, degrees): 4.271 4.271 6.699 90.00 90.00 90.00
Space group P4/mmm (No. 123)
Asymmetric unit:
Rh  0.000  0.000  0.000 (multiplicity 1)
Pb  0.500  0.500  0.500 (multiplicity 1)
I  0.500  0.500  0.000 (multiplicity 1)
N  0.000  0.500  0.500 (multiplicity 2)

***

Which value of calculated volume does entry 6 give? 122.18 Å³ per cell

***

Look up the calculated volume of the third one. 1252.21 Å³ per cell